NaSr2GePt: relaxed, PBE.

Computed properties:
* density of states at the Fermi level: 0.6979 states/eV per atom
* mass density: 4.453 Mg/m³
* ΔH_f (0 K): -0.44 eV/atom

abc: 6.051 6.051 4.746
angles: 90.00 90.00 90.00
Fractional positions:
Na  0.500  0.500  0.500
Ge  0.000  0.000  0.500
Sr  0.500  0.000  0.000
Sr  0.000  0.500  0.000
Pt  0.000  0.000  0.000